A plane-wave DFT calculation with PBE was carried out for KCoRu after structural relaxation.

a = 10.479 Å, b = 4.248 Å, c = 4.248 Å
α = 95.43°, β = 115.70°, γ = 64.30°
Atoms (fractional coordinates):
Co1 0.387 0.396 0.604
Co2 0.613 0.604 0.396
K1 0.822 0.928 0.072
K2 0.178 0.072 0.928
Ru1 0.500 0.775 0.775
Ru2 0.500 0.225 0.225

Results
M_tot (μB per formula unit): 0.0
Space-group type: C2/m, No. 12
Crystal system: monoclinic
Distance to the lowest polymorph of the same formula (eV/atom): 0.016